(1)
DFT (PBE) results for crystalline La4ErSe6 at its relaxed geometry.

a = 8.431 Å, b = 8.431 Å, c = 8.431 Å
α = 90.65°, β = 90.65°, γ = 90.65°
Fractional positions:
La (0.132, 0.750, 0.368)
La (0.250, 0.250, 0.250)
La (0.250, 0.632, 0.868)
La (0.368, 0.132, 0.750)
La (0.632, 0.868, 0.250)
La (0.750, 0.368, 0.132)
La (0.750, 0.750, 0.750)
La (0.868, 0.250, 0.632)
Er (0.000, 0.000, 0.000)
Er (0.500, 0.500, 0.500)
Se (0.061, 0.918, 0.686)
Se (0.082, 0.314, 0.939)
Se (0.186, 0.418, 0.561)
Se (0.314, 0.939, 0.082)
Se (0.418, 0.561, 0.186)
Se (0.439, 0.814, 0.582)
Se (0.561, 0.186, 0.418)
Se (0.582, 0.439, 0.814)
Se (0.686, 0.061, 0.918)
Se (0.814, 0.582, 0.439)
Se (0.918, 0.686, 0.061)
Se (0.939, 0.082, 0.314)

Properties
formation energy without anion corrections = -1.890 eV/atom



(2)
DFT (PBE) results for crystalline Ce3SiBr2 at its relaxed geometry.

a = 7.363 Å, b = 7.363 Å, c = 7.297 Å
α = 99.68°, β = 99.68°, γ = 120.00°
Fractional positions:
Ce (0.076, 0.421, 0.765)
Ce (0.231, 0.231, 0.232)
Ce (0.421, 0.076, 0.765)
Ce (0.579, 0.924, 0.235)
Ce (0.769, 0.769, 0.768)
Ce (0.924, 0.579, 0.235)
Si (0.167, 0.833, 0.000)
Si (0.833, 0.167, 0.000)
Br (0.000, 0.000, 0.500)
Br (0.336, 0.664, 0.500)
Br (0.500, 0.500, 0.000)
Br (0.664, 0.336, 0.500)

Properties
formation energy without anion corrections = -1.020 eV/atom



(3)
DFT (PBE) results for crystalline NbIn2Ag at its relaxed geometry.

a = 10.792 Å, b = 10.792 Å, c = 10.792 Å
α = 16.38°, β = 16.38°, γ = 16.38°
Fractional positions:
Nb (0.000, 0.000, 0.000)
In (0.090, 0.090, 0.090)
In (0.910, 0.910, 0.910)
Ag (0.500, 0.500, 0.500)

Properties
energy of formation = 38.1 kJ/mol of atoms



(4)
DFT (PBE) results for crystalline ZrIr3S at its relaxed geometry.

a = 4.897 Å, b = 4.897 Å, c = 4.897 Å
α = 90.00°, β = 90.00°, γ = 90.00°
Fractional positions:
Zr (0.000, 0.000, 0.000)
Ir (0.000, 0.000, 0.500)
Ir (0.000, 0.500, 0.000)
Ir (0.500, 0.000, 0.000)
S (0.500, 0.500, 0.500)

Properties
formation energy without anion corrections = 2.007 eV/atom



(5)
DFT (PBE) results for crystalline KCo2Ir at its relaxed geometry.

a = 8.782 Å, b = 8.782 Å, c = 8.782 Å
α = 148.08°, β = 148.08°, γ = 45.77°
Fractional positions:
K (0.375, 0.625, 0.750)
K (0.625, 0.375, 0.250)
Co (0.000, 0.000, 0.000)
Co (0.000, 0.000, 0.500)
Co (0.000, 0.500, 0.000)
Co (0.500, 0.000, 0.500)
Ir (0.125, 0.875, 0.250)
Ir (0.875, 0.125, 0.750)

Properties
energy of formation = 95.3 kJ/mol of atoms



(6)
DFT (PBE) results for crystalline TeAuSe2 at its relaxed geometry.

a = 4.062 Å, b = 4.062 Å, c = 5.810 Å
α = 90.00°, β = 90.00°, γ = 90.00°
Fractional positions:
Te (0.000, 0.000, 0.000)
Au (0.500, 0.500, 0.500)
Se (0.000, 0.000, 0.500)
Se (0.500, 0.500, 0.000)

Properties
formation energy without anion corrections = 0.097 eV/atom